Record 1
Compound: ThGa8Co4
Source: Alexandria
Functional: PBE
Structure: optimized geometry

Cell and atoms, written as extended XYZ:
```
13
Lattice="-3.2182 -0.0379 4.0721 -1.1248 -6.0824 2.3623 3.1456 0.5633 5.7991" Properties=species:S:1:pos:R:3 pbc="T T T"
Ga 0.2094 -3.6240 6.7475
Ga -0.7616 -4.3106 9.2816
Ga 0.3517 -3.7847 3.5506
Ga -1.4068 -1.9330 5.4860
Ga -0.4358 -1.2465 2.9519
Ga 1.6691 -1.7344 4.6108
Ga 0.5801 -0.9440 7.0655
Ga -1.7775 -4.6130 5.1680
Co 1.5728 0.2816 2.8995
Co -0.0363 0.2627 4.9356
Co -2.1715 -3.0602 3.2172
Co -0.5624 -3.0412 1.1812
Th 0.0000 0.0000 0.0000
```

---

Record 2
Compound: ThGa2Co
Source: Alexandria
Functional: PBE
Structure: optimized geometry

Cell and atoms, written as extended XYZ:
```
4
Lattice="4.8340 0.0000 0.0000 2.4170 4.1863 0.0000 2.4170 1.3954 3.7693" Properties=species:S:1:pos:R:3 pbc="T T T"
Co 0.0000 0.0000 0.0000
Ga 7.2509 4.1863 2.7350
Ga 2.4170 1.3954 1.0343
Th 4.8340 2.7909 1.8846
```

---

Record 3
Compound: ThGa2Co3
Source: Alexandria
Functional: PBE
Structure: optimized geometry

Cell and atoms, written as extended XYZ:
```
12
Lattice="5.2927 0.0000 0.0000 0.0000 5.9292 0.9523 0.0000 0.3799 5.9932" Properties=species:S:1:pos:R:3 pbc="T T T"
Ga 2.6464 4.9251 5.4218
Ga 0.0000 1.3840 1.5236
Ga 0.0000 4.9251 5.4218
Ga 2.6464 1.3840 1.5236
Co 1.3232 1.1105 3.5560
Co 3.9696 5.7524 1.1129
Co 3.9696 3.4333 1.4460
Co 1.3232 2.8759 5.4994
Co 3.9696 5.1987 3.3894
Co 1.3232 0.5568 5.8325
Th 1.3232 4.1598 2.5596
Th 3.9696 2.1494 4.3858
```

---

Record 4
Compound: Th2Ga3Co5
Source: Alexandria
Functional: PBE
Structure: optimized geometry

Cell and atoms, written as extended XYZ:
```
20
Lattice="5.7459 0.0000 0.0000 2.8730 7.5558 -0.0567 2.8730 1.1095 7.4741" Properties=species:S:1:pos:R:3 pbc="T T T"
Co 5.7459 5.5452 0.1920
Co 2.8730 1.0451 5.4492
Co 10.0554 6.7516 5.7793
Co 1.4365 1.9137 1.6382
Co 4.3095 1.9137 1.6382
Co 7.1824 4.3327 3.7087
Co 5.7459 3.1201 7.2255
Co 7.1824 6.7516 5.7793
Co 4.3095 4.3327 3.7087
Co 8.6189 7.6203 1.9683
Ga 4.3095 0.0000 0.0000
Ga 5.7459 4.8281 5.5328
Ga 1.4365 0.0000 0.0000
Ga 8.6189 6.2113 3.9169
Ga 5.7459 3.8372 1.8847
Ga 2.8730 2.4540 3.5006
Th 5.7459 6.9252 2.8668
Th 5.7460 1.7401 4.5507
Th 8.6189 3.9007 6.4001
Th 2.8730 4.7646 1.0174
```

---

Record 5
Compound: ThGa8Co2
Source: Alexandria
Functional: PBE
Structure: optimized geometry

Cell and atoms, written as extended XYZ:
```
11
Lattice="5.6675 0.0000 0.0000 0.0000 5.6675 0.0000 0.0000 0.0000 7.4812" Properties=species:S:1:pos:R:3 pbc="T T T"
Ga 4.2793 1.3883 1.4021
Ga 1.3883 1.3883 1.4021
Ga 1.3883 1.3883 6.0791
Ga 4.2793 4.2793 6.0791
Ga 1.3883 4.2793 1.4021
Ga 4.2793 1.3883 6.0791
Ga 1.3883 4.2793 6.0791
Ga 4.2793 4.2793 1.4021
Th 2.8338 2.8338 3.7406
Co 0.0000 2.8338 0.0000
Co 2.8338 0.0000 0.0000
```

---

Record 6
Compound: Th3Ga2Co
Source: Alexandria
Functional: PBE
Structure: optimized geometry

Cell and atoms, written as extended XYZ:
```
24
Lattice="-3.8009 0.3079 -1.9512 -3.4538 -9.6200 5.2102 -4.1706 6.4488 9.1421" Properties=species:S:1:pos:R:3 pbc="T T T"
Th -7.3463 -1.1035 7.0837
Th -8.9734 0.3367 10.4806
Th -4.0791 -1.7598 5.3175
Th -4.6735 0.0343 2.0565
Th -4.3318 -5.1896 5.2687
Th -7.7464 -5.2783 7.2044
Th -6.7518 -2.8976 10.3447
Th -2.4519 -3.2000 1.9205
Th -6.6160 -8.1020 4.5567
Th -7.0935 2.3263 7.1325
Th -4.8094 5.2387 7.8445
Th -3.6789 2.4150 5.1968
Ga -6.0297 0.4474 9.4657
Ga -5.7556 4.7192 4.9038
Ga -3.5652 -1.5149 -0.3470
Ga -5.3641 -3.4289 7.5575
Ga -5.6697 -7.5825 7.4974
Ga -6.0612 0.5655 4.8436
Ga -5.3957 -3.3108 2.9355
Ga -7.8601 -1.3484 12.7481
Co -1.9232 -0.3890 1.3342
Co -6.5997 -3.4229 5.2634
Co -9.5021 -2.4743 11.0670
Co -4.8256 0.5595 7.1378
```

---

Results for size of the total moment: 0.00, 0.77, 0.00, 2.12, 0.00, 0.00 (in μB/cell, following the order of the records).
Results for formation energy: -0.3265, -0.1254, -0.2872, -0.3325, 0.0627, -0.4213 (in eV per atom, following the order of the records).
Results for calculated volume: 193, 76, 186, 325, 240, 587 (in Å³/cell, following the order of the records).